The following is a PBE calculation of a relaxed Sr2PmCu9 crystal, from Alexandria.

Properties
The formation energy is -1.23 kcal/mol of atoms. As for the calculated density: 7.09 Mg/m³.

Cell: 5.280 5.280 9.179 Å, 73.29 73.29 60.00°
Sites, in units of the cell vectors:
Cu 0.500 0.500 0.500
Cu 0.426 0.916 0.233
Cu 0.669 0.669 0.994
Sr 0.859 0.859 0.424
Cu 0.331 0.331 0.006
Cu 0.084 0.574 0.767
Cu 0.426 0.426 0.233
Cu 0.916 0.426 0.233
Cu 0.574 0.574 0.767
Pm 0.000 0.000 0.000
Cu 0.574 0.084 0.767
Sr 0.141 0.141 0.576